No. 1
Density functional theory data (PBE-GGA) for a geometry-optimized GdGa2Bi structure.

```
4
Lattice="0.000 3.686 3.686 3.686 0.000 3.686 3.686 3.686 0.000" Properties=species:S:1:pos:R:3 pbc="T T T"
Gd 0.000 0.000 0.000
Ga 1.843 1.843 1.843
Ga 5.528 5.528 5.528
Bi 3.686 3.686 3.686
```

Values from the calculation:
* M_tot: 7.134 μB per formula unit
* distance to the lowest polymorph of the same formula: 0.2308 eV per atom
* calculated total energy: -0.4570 Ry/atom
* ΔH_f (0 K): -0.2135 eV/atom
* D(E_F): 0.965 states/eV per atom


No. 2
Density functional theory data (PBE-GGA) for a geometry-optimized Ca2La2N3 structure.

```
7
Lattice="6.256 -1.858 0.000 6.256 1.858 0.000 -1.480 0.000 6.132" Properties=species:S:1:pos:R:3 pbc="T T T"
Ca 1.305 0.000 2.190
Ca 9.727 0.000 3.941
La 4.548 0.000 0.712
La 6.484 0.000 5.419
N 0.000 0.000 0.000
N 1.992 0.000 4.685
N 9.040 0.000 1.447
```

Values from the calculation:
* raw formation energy: -714 kJ/mol of formula units
* M_tot: 0.010 μB per formula unit
* calculated total energy: -0.4854 Ry/atom
* D(E_F): 0.268 states/eV per atom